Record 1
Below is an optimized crystal structure of Na6B4Sb2SO16, with properties calculated at the PBEsol level.

```
58
Lattice="-2.2031 -3.8415 -9.0014 7.1310 -0.7481 -7.0161 3.5428 -9.0152 -2.6097" Properties=species:S:1:pos:R:3 pbc="T T T"
Sb 5.2941 -8.5030 -11.6420
Sb 1.7286 -8.1289 -8.1340
Sb 6.3957 -6.5822 -7.1413
Sb 3.5228 -3.9954 -10.3371
O 7.8074 -10.3794 -16.2417
O 7.1455 -7.7093 -14.6455
O 5.6245 -9.1005 -9.6196
O 7.6097 -11.2745 -11.8305
O 5.3347 -8.6341 -15.9210
O 1.6267 -7.0536 -9.9750
O 6.9009 -6.3690 -9.2042
O 1.0678 -3.5082 -5.7124
O 1.6031 -2.5748 -3.5253
O 5.8520 -11.7660 -16.1182
O 4.9637 -7.9054 -13.6643
O 5.9129 -1.3927 -6.4428
O 4.7362 -5.2399 -7.1658
O 2.4639 -4.7652 -4.1594
O 5.9282 -6.4797 -11.3957
O 3.4427 -9.2966 -8.6385
O 7.7992 -12.3195 -14.8284
O 3.1965 -7.6511 -3.1071
O 0.5145 -0.8264 -1.1315
O 5.0303 -12.4540 -13.2695
O 4.6601 -10.5262 -11.8883
O 2.7891 -4.6864 -8.4556
O 2.9786 -5.7314 -11.4534
O 2.7809 -6.6265 -7.0423
O 3.6874 -10.6370 -14.0798
O -1.1533 -3.7345 -7.9458
O 5.2536 -8.3718 -7.3629
O 3.3357 -2.7566 -5.2300
O 7.3840 -8.8849 -11.8483
O 3.2042 -8.1210 -11.4357
O 5.5580 -4.5519 -10.0144
O 8.9615 -9.9523 -13.3090
S 2.1177 -3.4012 -4.6568
S 0.0000 0.0000 0.0000
Na -0.6128 -2.1455 -4.5244
Na 3.3457 -0.8336 -3.6824
Na 3.8365 -8.0767 -5.4528
Na 7.9432 -8.5076 -9.4934
Na 2.4114 -2.4628 -7.4999
Na 4.8481 -4.6569 -4.7892
Na 5.9029 -3.3157 -7.9904
Na 4.6341 -5.5280 -13.1744
Na 2.5677 -10.2891 -10.6368
Na 0.5274 -5.0972 -9.1338
Na 0.8896 -5.9688 -5.6312
Na 1.8239 -4.3396 -1.8137
B 7.9683 -10.0390 -12.3461
B 2.6199 -6.9670 -10.9379
B 6.1096 -5.8105 -10.1956
B 5.8202 -8.1047 -14.7357
B 7.1447 -11.4751 -15.7114
B 3.4436 -5.5308 -7.5726
B 4.4787 -11.1955 -13.0883
B 4.7681 -8.9012 -8.5483
```

Calculated values
- Spin magnetization: 0.00 Bohr magnetons per cell
- ΔE_f (raw): -56.1 eV/f.u.
- Raw total energy: -6.554 eV/atom
- Mass density: 3.316 Mg/m³

Record 2
Below is an optimized crystal structure of Na4B4Sb2SO16, with properties calculated at the PBEsol level.

```
54
Lattice="-4.4681 8.3066 2.6950 -7.3619 -2.0444 -6.1522 2.5217 -6.6535 6.9596" Properties=species:S:1:pos:R:3 pbc="T T T"
O -1.8774 0.8791 7.2078
O -8.3009 3.6188 1.7776
O -3.5452 -6.5081 1.1517
O -7.6374 5.7503 0.9336
O -4.4288 -0.4103 -0.2175
O -9.4305 4.5660 -0.1112
O -2.4314 -4.1541 4.2805
O -5.3853 2.9732 -0.3421
O -1.5448 1.9044 0.4568
O -7.7771 -1.0872 -3.8064
O 0.5233 -6.6822 5.4673
O -5.5879 -0.9366 -2.2396
O -3.5597 -2.0650 4.9553
O 0.2103 -1.8469 1.7791
O -7.2402 2.4632 -1.8887
O -10.4075 4.2309 -3.7255
O -7.0174 0.1315 2.4544
O -3.7643 0.9347 4.2388
O -2.6055 3.0599 4.1232
O -7.1876 -0.2357 4.8064
O -0.1364 -0.8946 4.3878
O -0.3066 -1.2618 6.7398
O -5.4169 5.9335 2.4520
O -3.3791 -2.7547 1.0318
O -5.0846 -4.3346 1.5713
O -4.8926 3.0238 4.9136
O 0.6893 -2.9289 5.3475
O -4.4604 2.5500 2.5766
O -9.6013 1.1598 1.4707
O -6.8002 -0.7522 -0.1921
O -2.2083 -0.2271 1.3009
O -5.4466 -2.0094 1.9863
B -1.3757 0.8717 1.3480
B -7.4258 0.5496 3.7038
B -4.2369 6.2469 3.1114
B -2.6843 1.9003 7.6890
B -4.6397 -3.0306 1.5051
B 0.1019 -1.6799 5.4903
B -8.4700 4.6515 0.8865
B -5.6088 -0.7237 -0.8769
Na -6.3753 3.6862 3.2486
Na -5.3183 5.2655 0.0957
Na -1.4860 1.0980 4.6775
Na -6.5117 0.9967 -3.5528
Na -3.3340 4.5265 5.7873
Na -3.4704 1.8370 -1.0142
Na -8.3597 4.4251 -2.4430
Na -4.5274 0.2577 2.1388
Sb -7.3429 -1.5874 1.5210
Sb -2.6888 -1.3917 -0.2303
Sb -5.1089 -5.7407 0.1735
Sb -6.3698 -2.4139 -3.3063
S -5.9150 3.1311 -1.7286
S -3.9307 2.3921 3.9631
```

Calculated values
- Spin magnetization: 0.28 Bohr magnetons per cell
- ΔE_f (raw): -52.1 eV/f.u.
- Raw total energy: -6.786 eV/atom
- Mass density: 3.213 Mg/m³

Record 3
Below is an optimized crystal structure of NaScB2O5, with properties calculated at the PBEsol level.

```
36
Lattice="5.9010 0.0080 0.0000 -2.2732 6.8547 0.0000 0.0000 0.0000 9.7991" Properties=species:S:1:pos:R:3 pbc="T T T"
O 0.3684 3.0827 4.4625
O 0.0855 2.6302 1.6391
O 3.2196 1.8670 8.1579
O -0.7724 6.3224 0.0023
O 0.2691 1.8630 6.5407
O 3.0360 2.6342 3.2604
O 0.3089 3.7760 9.3621
O 0.4082 4.9958 1.6411
O 0.5918 4.2286 6.5387
O 3.2594 3.7800 5.3365
O 3.5423 4.2326 8.1599
O -1.7131 6.4170 6.9224
O 4.4002 0.5403 9.7967
O 2.1781 6.3264 4.8972
O 2.3904 0.4418 2.0229
O 1.2374 6.4210 7.7762
O 5.3409 0.4458 2.8767
O 3.3587 4.9998 3.2584
O 1.4497 0.5363 4.9019
O 3.3189 3.0867 0.4370
B 2.8659 6.2387 3.7327
B 0.7619 0.6240 6.0664
B 3.7124 0.6280 8.6322
B 0.4181 3.0707 5.8104
B 3.2097 3.7921 3.9887
B 0.2592 3.7881 0.9108
B -0.0846 6.2347 1.1668
B 3.3686 3.0747 8.8882
Na 0.0347 5.3612 4.0783
Na 2.9852 5.3652 0.8212
Na 0.6426 1.4975 8.9778
Na 3.5931 1.5015 5.7208
Sc 1.1314 1.6851 3.2031
Sc 4.0819 1.6891 1.6964
Sc 2.4964 5.1777 6.5959
Sc -0.4541 5.1737 8.1027
```

Calculated values
- Spin magnetization: 0.00 Bohr magnetons per cell
- ΔE_f (raw): -24.5 eV/f.u.
- Raw total energy: -8.084 eV/atom
- Mass density: 2.840 Mg/m³

Record 4
Below is an optimized crystal structure of Na3Sc2B3O9, with properties calculated at the PBEsol level.

```
34
Lattice="-3.8865 -1.1251 -7.3288 -7.4778 -3.7611 0.1360 -6.7269 4.7307 -1.5659" Properties=species:S:1:pos:R:3 pbc="T T T"
O -6.7624 -0.1020 -7.1148
O -4.0150 -1.0857 -3.2199
O -12.0441 -0.4399 -3.8877
O -7.3268 1.2848 -2.2455
O -12.9264 0.3546 -7.9035
O -9.0316 2.9381 -2.4819
O -13.7026 -1.6346 -6.2648
O -9.0596 -3.0936 -6.2768
O -10.7644 -1.4402 -6.5132
O -14.0762 0.9302 -5.5388
O -6.0471 0.2845 -4.8710
O -9.0132 -3.0494 -2.4135
O -4.3886 1.4791 -2.4939
O -5.1648 -0.5101 -0.8552
O -11.0443 1.5892 -5.9887
O -7.0469 -1.7447 -2.7700
O -9.0780 2.8939 -6.3452
O -11.3288 -0.0535 -1.6439
B -9.6262 -2.0572 -6.9890
B -8.4649 1.9017 -1.7697
B -11.7462 -0.9224 -2.6304
B -6.3450 0.7669 -6.1283
B -7.8040 -2.8630 -3.0503
B -10.2872 2.7075 -5.7084
Sc -3.1096 -0.0267 -1.5055
Sc -12.1552 -0.1045 -5.8848
Sc -14.9816 -0.1288 -7.2532
Sc -5.9360 -0.0510 -2.8739
Na -9.3594 0.7948 -7.5907
Na -11.5009 1.8512 -3.1863
Na -6.5903 -2.0067 -5.5724
Na -10.7993 -2.9182 -4.5507
Na -7.2919 2.7627 -4.2080
Na -8.7318 -0.9503 -1.1680
```

Calculated values
- Spin magnetization: 0.00 Bohr magnetons per cell
- ΔE_f (raw): -45.2 eV/f.u.
- Raw total energy: -7.701 eV/atom
- Mass density: 2.540 Mg/m³

Record 5
Below is an optimized crystal structure of NaSiBO4, with properties calculated at the PBEsol level.

```
42
Lattice="7.7212 0.0000 0.0000 0.0000 8.0651 0.0000 0.0000 -4.0326 6.9846" Properties=species:S:1:pos:R:3 pbc="T T T"
Si 7.6249 1.4527 2.2145
Si 7.6249 5.4210 0.1508
Si 3.7643 -1.1915 2.3653
Si 3.7643 -1.3884 6.8338
Si 7.6249 5.2240 4.6193
Si 3.7643 2.5799 4.7701
O 4.6961 -1.6492 5.5157
O 3.9280 6.4837 0.7818
O 4.6961 0.0804 2.7985
O 2.2128 2.1776 5.0642
O 0.0674 2.5647 6.0059
O 4.1174 4.0918 0.5132
O 6.0733 1.8550 1.9204
O 3.9280 4.1462 5.2241
O 6.0733 5.4745 0.6463
O 2.2128 -1.4419 6.3384
O 0.0674 -0.1136 1.7605
O 0.8355 5.6818 1.4689
O 0.8355 3.9522 4.1861
O 0.2568 -0.0592 6.4715
O 4.1174 5.5748 3.2870
O 0.2568 -1.5423 3.6976
O 0.0674 -2.4511 6.2028
O 0.8355 2.4638 1.3296
O 0.2568 1.6015 3.8002
O 2.2128 -0.7356 2.5667
O 3.9280 1.4678 0.9787
O 4.1174 2.4311 3.1844
O 4.6961 1.5688 5.6550
O 6.0733 4.7682 4.4179
Na 2.3194 4.0326 2.3282
Na 2.0780 0.0000 0.0000
Na 1.8107 0.0000 4.6564
Na 5.9386 0.0000 0.0000
Na 6.1800 0.0000 4.6564
Na 5.6713 4.0326 2.3282
B 4.6883 1.4367 2.2388
B 4.6883 5.2531 4.6210
B 0.8277 -1.3754 6.8598
B 0.8277 -1.2205 2.3636
B 0.8277 2.5959 4.7458
B 4.6883 5.4080 0.1248
```

Calculated values
- Spin magnetization: 0.00 Bohr magnetons per cell
- ΔE_f (raw): -17.8 eV/f.u.
- Raw total energy: -7.573 eV/atom
- Mass density: 2.884 Mg/m³

Record 6
Below is an optimized crystal structure of NaSiBO4, with properties calculated at the PBEsol level.

```
84
Lattice="-2.1483 3.8793 -6.3260 -7.6834 -0.9465 2.0288 0.4045 11.9855 7.2124" Properties=species:S:1:pos:R:3 pbc="T T T"
O -7.7394 2.4726 1.6055
O -6.8149 8.7215 7.5907
O -2.3133 6.5040 4.7515
O -6.0160 0.5788 0.7790
O -3.9761 0.7956 -0.5287
O -1.7248 4.2873 -3.0808
O -7.7024 10.6310 5.9960
O -7.1184 7.2652 0.5364
O -2.6123 6.1967 -4.6754
O -7.1139 8.4142 -1.8362
O -7.1324 11.6324 2.4564
O -3.6132 8.7903 4.4393
O -4.8257 4.0489 -2.1993
O -8.8090 10.1891 1.4091
O -4.8563 2.6834 0.7043
O -6.0881 4.9097 2.4284
O -6.0181 4.7407 -4.4465
O -0.7068 8.9588 3.6070
O -1.6878 12.4456 1.3098
O -7.5157 3.7821 -2.4955
O -1.9115 11.1362 5.4108
O -5.8140 6.1280 -1.5240
O -1.8154 8.6099 -1.1878
O -3.7076 4.4698 2.4218
O -4.6015 10.8693 5.1146
O -3.4824 6.0938 -2.1331
O -0.9550 1.1001 -1.4043
O -2.3089 7.6531 2.3789
O -8.4722 13.8181 4.3196
O -7.6118 6.3083 4.1030
O -5.7196 10.4484 0.4935
O -2.0060 12.9591 3.8883
O -3.3391 10.0086 0.4869
O -3.4112 14.3395 2.1363
O -8.7204 5.9595 -0.6917
O -4.5709 12.2348 2.2110
O -5.9448 8.8244 5.0484
O -4.8531 8.3354 -0.3609
O -3.4092 10.1775 7.3617
O -5.4511 14.1226 3.4440
O -5.2104 9.8357 3.0118
O -2.2948 3.2859 0.4589
O -7.4212 1.9591 -0.9730
O -4.2168 5.0825 -0.0965
O -0.6183 4.7291 1.5062
O -8.5104 5.6206 1.6567
O -4.5742 6.5829 3.2762
O -0.9168 9.2976 1.2586
Si -5.6781 11.0453 2.0150
Si -3.7491 3.8729 0.9003
Si -7.4659 1.2889 0.5104
Si -3.2139 7.3793 3.7148
Si -6.2134 7.5390 -0.7995
Si -6.0469 3.6704 -3.2190
Si -3.3804 11.2478 6.1343
Si -1.9613 13.6293 2.4049
Si -1.7991 9.7684 -0.0271
Si -7.2113 9.0723 6.0430
Si -7.6281 5.1498 2.9424
Si -2.2159 5.8460 -3.1277
B -8.4534 6.6381 0.5830
B -4.8163 5.1232 3.1399
B -4.6911 1.2241 0.7026
B -4.8487 9.5907 4.4335
B -0.8741 3.4661 0.7996
B -0.9738 8.2801 2.3323
B -8.3264 2.7359 -1.8492
B -4.5785 5.3275 -1.5182
B -8.5531 11.4521 2.1157
B -1.1008 12.1823 4.7645
B -4.6109 9.7950 -0.2246
B -4.7361 13.6941 2.2127
Na -2.6781 10.6284 2.8489
Na -3.0701 7.0108 0.2907
Na -6.3658 12.3038 4.7111
Na -6.3571 7.9074 2.6246
Na -5.7113 2.3370 3.2337
Na -3.7160 12.5812 -0.3184
Na -1.7956 0.7229 0.7192
Na -5.7536 6.4233 5.6144
Na -3.0615 2.6145 -1.7959
Na -7.6316 14.1953 2.1961
Na -6.7491 4.2899 0.0664
Na -3.6737 8.4949 -2.6991
```

Calculated values
- Spin magnetization: 0.00 Bohr magnetons per cell
- ΔE_f (raw): -17.9 eV/f.u.
- Raw total energy: -7.581 eV/atom
- Mass density: 2.899 Mg/m³

Record 7
Below is an optimized crystal structure of Na3SiSnBO7, with properties calculated at the PBEsol level.

```
26
Lattice="-5.1202 1.2195 -0.6399 -1.4680 -6.5022 -0.6456 -0.9887 -0.6650 8.9458" Properties=species:S:1:pos:R:3 pbc="T T T"
O -1.6608 -1.8418 4.9587
O -6.1192 -5.6077 4.9644
O -6.1498 -1.0362 7.0519
O -3.8680 -1.5379 6.9164
O -3.8491 -1.2109 3.5804
O -1.4577 -0.3400 2.6960
O -3.7278 -4.7368 4.0800
O -3.9311 -0.8527 0.1592
O -3.7089 -4.4099 0.7439
O -2.0208 -2.8343 2.4483
O -3.6458 -5.0950 7.5012
O -5.9161 -4.1059 2.7016
O -5.5561 -3.1135 5.2120
O -1.4271 -4.9115 0.6084
B -2.5885 -4.5775 -0.1151
B -4.9884 -1.3703 7.7754
Sn -5.0289 -1.1095 5.2412
Sn -2.5480 -4.8383 2.4192
Na -2.7870 -3.4859 6.2343
Na -5.9306 -4.5541 7.2481
Na -3.5009 -6.6480 5.9204
Na -4.0760 0.7002 1.7400
Na -4.7899 -2.4619 1.4260
Na -1.6463 -1.3937 0.4123
Si -2.2340 -1.5634 3.4577
Si -5.3429 -4.3844 4.2026
```

Calculated values
- Spin magnetization: 0.09 Bohr magnetons per cell
- ΔE_f (raw): -28.3 eV/f.u.
- Raw total energy: -6.639 eV/atom
- Mass density: 3.510 Mg/m³

Record 8
Below is an optimized crystal structure of Na2Y2B2TeO10, with properties calculated at the PBEsol level.

```
34
Lattice="-5.0661 1.7497 -3.3191 -2.5655 -3.4594 5.1629 -0.5912 8.3697 5.3145" Properties=species:S:1:pos:R:3 pbc="T T T"
O -6.8519 0.6512 1.0093
O -2.2310 4.6417 2.8438
O -3.2561 0.4927 5.9582
O -3.7379 6.0856 7.4403
O -5.9917 2.0183 4.3144
O -4.1775 4.9915 4.1425
O -1.3708 6.0087 6.1488
O -5.6865 4.0433 -0.5166
O -4.9666 6.1672 1.1999
O -4.1251 1.8771 -2.2896
O -4.4848 0.5744 -0.2822
O -4.0975 4.7829 9.4477
O -2.6699 2.0879 -0.3977
O -5.5528 4.5721 7.5559
O -1.8170 0.0075 1.9704
O -5.6318 3.3172 2.3046
O -4.0452 1.6685 3.0157
O -2.5909 3.3428 4.8536
O -6.4057 6.6524 5.1878
O -2.5361 2.6167 7.6748
Na -4.7505 -0.3504 2.1022
Na -3.4722 7.0104 5.0560
Na -4.5918 2.9705 6.1705
Na -3.6309 3.6894 0.9877
Y -2.1771 1.2015 4.0546
Y -6.0456 5.4585 3.1035
Y -0.7957 1.5346 0.5864
Y -7.4270 5.1253 6.5718
B -3.0168 4.3156 3.9809
B -5.2058 2.3443 3.1773
B -4.4784 5.1183 8.1703
B -3.7442 1.5417 -1.0121
Te -1.2827 -1.7297 2.5814
Te -0.2956 4.1848 2.6572
```

Calculated values
- Spin magnetization: 0.00 Bohr magnetons per cell
- ΔE_f (raw): -42.0 eV/f.u.
- Raw total energy: -7.560 eV/atom
- Mass density: 4.332 Mg/m³

Repeat the eighth record exactly.
Below is an optimized crystal structure of Na2Y2B2TeO10, with properties calculated at the PBEsol level.

```
34
Lattice="-5.0661 1.7497 -3.3191 -2.5655 -3.4594 5.1629 -0.5912 8.3697 5.3145" Properties=species:S:1:pos:R:3 pbc="T T T"
O -6.8519 0.6512 1.0093
O -2.2310 4.6417 2.8438
O -3.2561 0.4927 5.9582
O -3.7379 6.0856 7.4403
O -5.9917 2.0183 4.3144
O -4.1775 4.9915 4.1425
O -1.3708 6.0087 6.1488
O -5.6865 4.0433 -0.5166
O -4.9666 6.1672 1.1999
O -4.1251 1.8771 -2.2896
O -4.4848 0.5744 -0.2822
O -4.0975 4.7829 9.4477
O -2.6699 2.0879 -0.3977
O -5.5528 4.5721 7.5559
O -1.8170 0.0075 1.9704
O -5.6318 3.3172 2.3046
O -4.0452 1.6685 3.0157
O -2.5909 3.3428 4.8536
O -6.4057 6.6524 5.1878
O -2.5361 2.6167 7.6748
Na -4.7505 -0.3504 2.1022
Na -3.4722 7.0104 5.0560
Na -4.5918 2.9705 6.1705
Na -3.6309 3.6894 0.9877
Y -2.1771 1.2015 4.0546
Y -6.0456 5.4585 3.1035
Y -0.7957 1.5346 0.5864
Y -7.4270 5.1253 6.5718
B -3.0168 4.3156 3.9809
B -5.2058 2.3443 3.1773
B -4.4784 5.1183 8.1703
B -3.7442 1.5417 -1.0121
Te -1.2827 -1.7297 2.5814
Te -0.2956 4.1848 2.6572
```

Calculated values
- Spin magnetization: 0.00 Bohr magnetons per cell
- ΔE_f (raw): -42.0 eV/f.u.
- Raw total energy: -7.560 eV/atom
- Mass density: 4.332 Mg/m³